# 1
A plane-wave DFT calculation with GGA-PBE was carried out for crystalline TlBr2 at its relaxed geometry.

The space group is C2/m (No. 12) and the conventional cell measures 12.580, 4.202 and 10.658 Å, with angles of 90.00, 110.25 and 90.00 degrees. The asymmetric unit holds Tl at (0.099, 0.000, 0.352), Br at (0.032, 0.500, 0.146) and Br at (0.151, 0.500, 0.585).

As for the uncorrected formation energy: -135.8 kJ/mol of formula units. The total energy comes out at -2.373 eV/atom.

# 2
A plane-wave DFT calculation with GGA-PBE was carried out for crystalline Cs3TeN at its relaxed geometry.

The space group is Pm-3m (No. 221) and the conventional cell measures 5.903, 5.903 and 5.903 Å, with angles of 90.00, 90.00 and 90.00 degrees. The asymmetric unit holds Cs at (0.000, 0.000, 0.500), Te at (0.500, 0.500, 0.500) and N at (0.000, 0.000, 0.000).

As for the uncorrected formation energy: 24.1 kJ/mol of formula units. The total energy comes out at -2.756 eV/atom. Its energy above the most stable polymorph in this dataset is 0 meV/atom.

# 3
A plane-wave DFT calculation with GGA-PBE was carried out for crystalline LiCaHg at its relaxed geometry.

The space group is I4/mmm (No. 139) and the conventional cell measures 4.337, 4.337 and 16.274 Å, with angles of 90.00, 90.00 and 90.00 degrees. The asymmetric unit holds Li at (0.000, 0.500, 0.000), Ca at (0.000, 0.000, 0.177) and Hg at (0.000, 0.000, 0.383).

The total energy comes out at -1.804 eV/atom. Its energy above the most stable polymorph in this dataset is 4 meV/atom.

# 4
A plane-wave DFT calculation with GGA-PBE was carried out for crystalline Sc2AlCoC at its relaxed geometry.

The space group is P4/mmm (No. 123) and the conventional cell measures 4.549, 4.549 and 3.699 Å, with angles of 90.00, 90.00 and 90.00 degrees. The asymmetric unit holds Sc at (0.000, 0.500, 0.000), Al at (0.000, 0.000, 0.500), Co at (0.500, 0.500, 0.500) and C at (0.500, 0.500, 0.000).

The total energy comes out at -6.945 eV/atom. Its energy above the most stable polymorph in this dataset is 0 meV/atom.